(1)
{"formula": "MgPb3", "functional": "PBE", "state": "optimized geometry", "total_magnetization_mub_per_fu": 0.00, "space_group": "R-3m, No. 166", "delta_e_f_mev_per_atom": 69.1, "lattice_angstrom": [[6.467, -0.011, -0.036], [-2.928, 5.767, -0.036], [-2.928, -4.760, 3.255]], "species": ["Pb", "Pb", "Pb", "Mg"], "frac_coords": [[0.500, 0.500, 0.000], [0.000, 0.500, 0.500], [0.500, 0.000, 0.500], [0.000, 0.000, 0.000]]}



(2)
{"formula": "Ni2SnPd2", "functional": "PBE", "state": "optimized geometry", "total_magnetization_mub_per_fu": 0.23, "space_group": "P4/mbm, No. 127", "delta_e_f_mev_per_atom": -77.1, "de_polymorph_ev_per_atom": 0.000, "lattice_angstrom": [[-6.231, 1.363, -0.671], [-1.331, -6.263, -0.367], [-0.423, -0.125, 3.671]], "species": ["Sn", "Ni", "Ni", "Pd", "Sn", "Pd", "Ni", "Pd", "Pd", "Ni"], "frac_coords": [[0.500, 0.500, 0.000], [0.871, 0.629, 0.000], [0.629, 0.129, 0.000], [0.664, 0.836, 0.500], [0.000, 0.000, 0.000], [0.164, 0.664, 0.500], [0.371, 0.871, 0.000], [0.336, 0.164, 0.500], [0.836, 0.336, 0.500], [0.129, 0.371, 0.000]]}



(3)
{"formula": "HgAuSe", "functional": "PBE", "state": "optimized geometry", "total_magnetization_mub_per_fu": 0.00, "raw_formation_energy_ev_per_atom": 0.124, "space_group": "F-43m, No. 216", "de_polymorph_ev_per_atom": 0.232, "lattice_angstrom": [[4.681, 0.000, 0.000], [2.340, 4.054, 0.000], [2.340, 1.351, 3.822]], "species": ["Au", "Hg", "Se"], "frac_coords": [[0.250, 0.250, 0.250], [0.000, 0.000, 0.000], [0.500, 0.500, 0.500]]}



(4)
{"formula": "Pu2ScAl9", "functional": "PBE", "state": "optimized geometry", "total_magnetization_mub_per_fu": 11.26, "space_group": "R-3m, No. 166", "delta_e_f_mev_per_atom": -233.9, "lattice_angstrom": [[5.446, 0.000, 0.000], [2.723, 4.716, 0.000], [2.723, 1.572, 8.876]], "species": ["Al", "Pu", "Al", "Al", "Al", "Al", "Al", "Sc", "Al", "Pu", "Al", "Al"], "frac_coords": [[0.334, 0.334, 0.997], [0.145, 0.145, 0.566], [0.415, 0.415, 0.248], [0.585, 0.585, 0.752], [0.415, 0.922, 0.248], [0.500, 0.500, 0.500], [0.585, 0.078, 0.752], [0.000, 0.000, 0.000], [0.922, 0.415, 0.248], [0.855, 0.855, 0.434], [0.078, 0.585, 0.752], [0.666, 0.666, 0.003]]}



(5)
{"formula": "Cs4YNp3S8", "functional": "PBE", "state": "optimized geometry", "total_magnetization_mub_per_fu": 12.00, "raw_formation_energy_ev_per_atom": -1.464, "space_group": "R-3m, No. 166", "lattice_angstrom": [[8.284, 0.000, 0.000], [0.000, 9.340, 0.729], [-4.142, -4.132, 5.865]], "species": ["Cs", "S", "S", "S", "Np", "Cs", "Cs", "Cs", "S", "S", "S", "Y", "Np", "S", "Np", "S"], "frac_coords": [[0.000, 0.000, 0.000], [0.227, 0.681, 0.453], [0.726, 0.678, 0.452], [0.274, 0.322, 0.548], [0.500, 0.500, 0.500], [0.000, 0.000, 0.500], [0.500, 0.000, 0.500], [0.500, 0.000, 0.000], [0.272, 0.319, 0.045], [0.773, 0.319, 0.547], [0.227, 0.681, 0.955], [0.000, 0.500, 0.000], [0.500, 0.500, 0.000], [0.773, 0.319, 0.045], [0.000, 0.500, 0.500], [0.728, 0.681, 0.955]]}



(6)
{"formula": "RbHg2S3", "functional": "PBE", "state": "optimized geometry", "total_magnetization_mub_per_fu": 0.00, "raw_formation_energy_ev_per_atom": -0.275, "space_group": "P-1, No. 2", "de_polymorph_ev_per_atom": 0.000, "lattice_angstrom": [[-4.970, 0.851, 5.001], [0.508, -6.523, -5.325], [5.958, -3.029, 3.699]], "species": ["Hg", "Rb", "S", "S", "S", "Hg", "Rb", "Hg", "S", "S", "Hg", "S"], "frac_coords": [[0.156, 0.824, 0.457], [0.669, 0.295, 0.951], [0.177, 0.280, 0.840], [0.905, 0.642, 0.668], [0.095, 0.358, 0.332], [0.000, 0.000, 0.000], [0.331, 0.705, 0.049], [0.844, 0.176, 0.543], [0.823, 0.720, 0.160], [0.448, 0.085, 0.303], [0.500, 0.500, 0.500], [0.552, 0.915, 0.697]]}



(7)
{"formula": "CoRe2Au", "functional": "PBE", "state": "optimized geometry", "total_magnetization_mub_per_fu": 0.74, "space_group": "Cm, No. 8", "delta_e_f_mev_per_atom": 348.0, "de_polymorph_ev_per_atom": 0.111, "lattice_angstrom": [[4.734, -0.006, -0.012], [3.964, 2.588, -0.012], [0.803, 0.238, 4.778]], "species": ["Au", "Co", "Re", "Re"], "frac_coords": [[0.503, 0.503, 0.487], [0.261, 0.261, 0.232], [0.746, 0.746, 0.779], [0.990, 0.990, 0.001]]}



(8)
{"formula": "BeNb3F", "functional": "PBE", "state": "optimized geometry", "total_magnetization_mub_per_fu": 0.00, "raw_formation_energy_ev_per_atom": 0.151, "space_group": "Pm-3m, No. 221", "de_polymorph_ev_per_atom": 0.000, "lattice_angstrom": [[-2.344, 0.270, -3.540], [1.290, -3.887, -1.151], [-3.307, -1.708, 2.060]], "species": ["Be", "Nb", "F", "Nb", "Nb"], "frac_coords": [[0.500, 0.500, 0.500], [0.000, 0.000, 0.500], [0.000, 0.000, 0.000], [0.000, 0.500, 0.000], [0.500, 0.000, 0.000]]}